First-principles (GGA-PBE) data for a relaxed structure of TcRhW3, as listed in Alexandria via LeMat-Bulk.

Output
For the calculated volume, the calculation gives 19.9 Å³ per atom. As for the theoretical density: 12.53 g cm⁻³. The calculation puts the total energy at -9.36 eV/atom. For the magnetic moment, the calculation gives 0.000 Bohr magnetons per cell.

Cell: 4.637 4.637 4.637 Å, 90.00 90.00 90.00°
Fractional positions:
W  0.500  0.000  0.000
W  0.000  0.000  0.500
W  0.000  0.500  0.000
Rh  0.500  0.500  0.500
Tc  0.000  0.000  0.000

---

First-principles (GGA-PBE) data for a relaxed structure of Ag2POF5, as listed in Alexandria via LeMat-Bulk.

Output
For the calculated volume, the calculation gives 13.4 Å³ per atom. As for the theoretical density: 4.94 g cm⁻³. For the magnetic moment, the calculation gives 0.000 Bohr magnetons per cell. The uncorrected formation energy comes out at -1729.5 meV/atom.

Cell: 5.891 5.891 5.891 Å, 75.07 128.96 128.96°
Fractional positions:
F  0.541  0.774  0.774
F  0.000  0.233  0.774
F  0.000  0.774  0.233
F  0.459  0.233  0.233
Ag  0.500  0.756  0.256
F  0.000  0.178  0.178
Ag  0.500  0.256  0.756
O  0.000  0.813  0.813
P  0.000  0.984  0.984

---

First-principles (GGA-PBE) data for a relaxed structure of SmMnCo, as listed in Alexandria via LeMat-Bulk.

Output
For the calculated volume, the calculation gives 18.5 Å³ per atom. As for the theoretical density: 7.90 g cm⁻³. The calculation puts the total energy at -6.97 eV/atom. For the magnetic moment, the calculation gives 16.307 Bohr magnetons per cell.

Cell: 5.470 5.938 7.369 Å, 111.84 90.00 90.00°
Last column: magnetic moment on the atom in μB.
Fractional positions:
Sm  0.888  0.808  0.124  -0.14
Mn  0.901  0.411  0.309  3.27
Sm  0.388  0.192  0.376  -0.14
Co  0.615  0.197  0.033  0.89
Mn  0.599  0.411  0.809  3.27
Mn  0.401  0.589  0.191  3.27
Co  0.885  0.197  0.533  0.89
Co  0.115  0.803  0.467  0.89
Sm  0.112  0.192  0.876  -0.14
Sm  0.612  0.808  0.624  -0.14
Co  0.385  0.803  0.967  0.89
Mn  0.099  0.589  0.691  3.27

---

First-principles (GGA-PBE) data for a relaxed structure of Ca2NiSn2, as listed in Alexandria via LeMat-Bulk.

Output
For the calculated volume, the calculation gives 25.1 Å³ per atom. As for the theoretical density: 4.98 g cm⁻³. The calculation puts the total energy at -4.12 eV/atom. For the magnetic moment, the calculation gives 0.000 Bohr magnetons per cell.

Cell: 4.574 6.044 10.067 Å, 87.34 76.87 67.77°
Fractional positions:
Ca  0.667  0.333  0.334
Ni  0.629  0.093  0.650
Sn  0.359  0.154  0.128
Ca  0.333  0.667  0.666
Sn  0.641  0.846  0.872
Ca  0.076  0.738  0.110
Ni  0.371  0.907  0.350
Sn  0.102  0.234  0.561
Ca  0.924  0.262  0.890
Sn  0.898  0.766  0.439

---

First-principles (GGA-PBE) data for a relaxed structure of CrNiCl2, as listed in Alexandria via LeMat-Bulk.

Output
For the calculated volume, the calculation gives 18.5 Å³ per atom. As for the theoretical density: 4.06 g cm⁻³. For the magnetic moment, the calculation gives 5.321 Bohr magnetons per cell. The uncorrected formation energy comes out at 56.9 meV/atom.

Cell: 3.326 6.152 3.626 Å, 90.00 90.00 90.00°
Last column: magnetic moment on the atom in μB.
Fractional positions:
Cr  0.500  0.000  0.500  4.00
Cl  0.500  0.500  0.000  0.08
Ni  0.000  0.500  0.500  0.73
Cl  0.000  0.000  0.000  -0.01

---

First-principles (GGA-PBE) data for a relaxed structure of LiBSbI2, as listed in Alexandria via LeMat-Bulk.

Output
For the calculated volume, the calculation gives 29.7 Å³ per atom. As for the theoretical density: 4.39 g cm⁻³. For the magnetic moment, the calculation gives 0.000 Bohr magnetons per cell. The uncorrected formation energy comes out at 1004.7 meV/atom.

Cell: 5.415 5.415 5.069 Å, 90.00 90.00 90.00°
Fractional positions:
Sb  0.000  0.000  0.500
B  0.500  0.500  0.500
Li  0.000  0.000  0.000
I  0.000  0.500  0.000
I  0.500  0.000  0.000

---

First-principles (GGA-PBE) data for a relaxed structure of Tb3Pm5Sc2, as listed in Alexandria via LeMat-Bulk.

Output
For the calculated volume, the calculation gives 31.5 Å³ per atom. As for the theoretical density: 6.81 g cm⁻³. The calculation puts the total energy at -4.99 eV/atom. For the magnetic moment, the calculation gives 0.000 Bohr magnetons per cell.

Cell: 9.386 9.381 9.368 Å, 106.83 106.55 115.23°
Fractional positions:
Pm  0.928  0.775  0.454
Sc  0.777  0.328  0.351
Pm  0.880  0.629  0.750
Pm  0.120  0.371  0.250
Pm  0.823  0.478  0.052
Pm  0.372  0.121  0.751
Tb  0.473  0.420  0.150
Tb  0.729  0.176  0.651
Sc  0.977  0.927  0.146
Tb  0.678  0.026  0.954
Sc  0.023  0.073  0.854
Sc  0.223  0.672  0.649
Pm  0.072  0.225  0.546
Pm  0.177  0.522  0.948
Pm  0.575  0.729  0.553
Pm  0.425  0.271  0.447
Tb  0.271  0.824  0.349
Tb  0.322  0.974  0.046
Pm  0.628  0.879  0.249
Tb  0.527  0.580  0.850

---

First-principles (GGA-PBE) data for a relaxed structure of CaBeRe3, as listed in Alexandria via LeMat-Bulk.

Output
For the calculated volume, the calculation gives 19.3 Å³ per atom. As for the theoretical density: 10.48 g cm⁻³. The calculation puts the total energy at -5.11 eV/atom. For the magnetic moment, the calculation gives 0.000 Bohr magnetons per cell.

Cell: 4.584 4.584 4.584 Å, 90.00 90.00 90.00°
Fractional positions:
Re  0.500  0.000  0.000
Be  0.500  0.500  0.500
Re  0.000  0.000  0.500
Ca  0.000  0.000  0.000
Re  0.000  0.500  0.000

---

Copy entry 3 word for word.
First-principles (GGA-PBE) data for a relaxed structure of SmMnCo, as listed in Alexandria via LeMat-Bulk.

Output
For the calculated volume, the calculation gives 18.5 Å³ per atom. As for the theoretical density: 7.90 g cm⁻³. The calculation puts the total energy at -6.97 eV/atom. For the magnetic moment, the calculation gives 16.307 Bohr magnetons per cell.

Cell: 5.470 5.938 7.369 Å, 111.84 90.00 90.00°
Last column: magnetic moment on the atom in μB.
Fractional positions:
Sm  0.888  0.808  0.124  -0.14
Mn  0.901  0.411  0.309  3.27
Sm  0.388  0.192  0.376  -0.14
Co  0.615  0.197  0.033  0.89
Mn  0.599  0.411  0.809  3.27
Mn  0.401  0.589  0.191  3.27
Co  0.885  0.197  0.533  0.89
Co  0.115  0.803  0.467  0.89
Sm  0.112  0.192  0.876  -0.14
Sm  0.612  0.808  0.624  -0.14
Co  0.385  0.803  0.967  0.89
Mn  0.099  0.589  0.691  3.27

---

> The lowest calculated volume belongs to which entry?

Ag2POF5

---

Please write out number 5 again, unchanged.
First-principles (GGA-PBE) data for a relaxed structure of CrNiCl2, as listed in Alexandria via LeMat-Bulk.

Output
For the calculated volume, the calculation gives 18.5 Å³ per atom. As for the theoretical density: 4.06 g cm⁻³. For the magnetic moment, the calculation gives 5.321 Bohr magnetons per cell. The uncorrected formation energy comes out at 56.9 meV/atom.

Cell: 3.326 6.152 3.626 Å, 90.00 90.00 90.00°
Last column: magnetic moment on the atom in μB.
Fractional positions:
Cr  0.500  0.000  0.500  4.00
Cl  0.500  0.500  0.000  0.08
Ni  0.000  0.500  0.500  0.73
Cl  0.000  0.000  0.000  -0.01